WCI3: relaxed, GGA-PBE.

Unit cell a=4.7975 b=4.7975 c=4.7975 alpha=90.00 beta=90.00 gamma=90.00
Space group Pm-3m (No. 221)
Inequivalent atoms, fractional coordinates:
W: 0.0000 0.0000 0.0000 [1 per cell]
C: 0.5000 0.5000 0.5000 [1 per cell]
I: 0.0000 0.5000 0.5000 [3 per cell]

Values from the calculation:
As for the total energy: -3.1481 eV per atom. The raw formation energy comes out at 2217 meV per atom.